Entry from Alexandria: Fe14TcGe after structural relaxation (PBE).

Structure (POSCAR):
```
Fe14TcGe
1.0
2.8921 -4.0424 0.0000
2.8921 4.0424 0.0000
0.0000 0.0000 8.0866
Fe Tc Ge
14 1 1
Direct
0.0000 0.0000 0.0000 Fe
0.0000 0.5000 0.0000 Fe
0.0000 0.5000 0.5000 Fe
0.2491 0.7509 0.2486 Fe
0.2491 0.7509 0.7514 Fe
0.2502 0.2502 0.2436 Fe
0.2502 0.2502 0.7564 Fe
0.5000 0.0000 0.0000 Fe
0.5000 0.0000 0.5000 Fe
0.5000 0.5000 0.0000 Fe
0.7498 0.7498 0.2436 Fe
0.7498 0.7498 0.7564 Fe
0.7509 0.2491 0.2486 Fe
0.7509 0.2491 0.7514 Fe
0.5000 0.5000 0.5000 Tc
0.0000 0.0000 0.5000 Ge
```

Values from the calculation:
DOS(E_F): 16.1 states/eV per cell
calculated formation energy: 15 meV per atom
symmetry: Cmmm

Entry from Alexandria: Ti2PdPb after structural relaxation (PBE).

Structure (POSCAR):
```
Ti2PdPb
1.0
4.1112 0.0000 0.0000
0.0000 4.1112 0.0000
0.0000 0.0000 4.2496
Ti Pd Pb
2 1 1
Direct
0.0000 0.5000 0.0000 Ti
0.5000 0.0000 0.0000 Ti
0.0000 0.0000 0.5000 Pd
0.5000 0.5000 0.5000 Pb
```

Values from the calculation:
DOS(E_F): 4.9 states/eV per cell
calculated formation energy: -222 meV per atom
symmetry: P4/mmm

Entry from Alexandria: Tb3CdIn2 after structural relaxation (PBE).

Structure (POSCAR):
```
Tb3CdIn2
1.0
3.7425 0.0000 0.0000
0.0000 3.7425 0.0000
0.0000 0.0000 11.4638
Tb Cd In
3 1 2
Direct
0.0000 0.0000 0.0000 Tb
0.0000 0.0000 0.3377 Tb
0.0000 0.0000 0.6623 Tb
0.5000 0.5000 0.5000 Cd
0.5000 0.5000 0.1713 In
0.5000 0.5000 0.8287 In
```

Values from the calculation:
DOS(E_F): 5.6 states/eV per cell
calculated formation energy: -430 meV per atom
symmetry: P4/mmm
E above lowest polymorph: 0.05 eV/f.u.

Entry from Alexandria: CaZnCr2 after structural relaxation (PBE).

Structure (POSCAR):
```
CaZnCr2
1.0
3.8054 0.0000 0.0000
0.0000 3.8054 0.0000
0.0000 0.0000 9.0487
Ca Zn Cr
2 2 4
Direct
0.0000 0.0000 0.0000 Ca
0.5000 0.5000 0.5000 Ca
0.0000 0.0000 0.5000 Zn
0.5000 0.5000 0.0000 Zn
0.0000 0.5000 0.2500 Cr
0.0000 0.5000 0.7500 Cr
0.5000 0.0000 0.2500 Cr
0.5000 0.0000 0.7500 Cr
```

Values from the calculation:
DOS(E_F): 9.4 states/eV per cell
calculated formation energy: 891 meV per atom
symmetry: I4/mmm

Entry from Alexandria: NdCl2 after structural relaxation (PBE).

Structure (POSCAR):
```
NdCl2
1.0
3.5131 0.0000 0.0000
0.0000 3.5131 0.0000
0.0000 0.0000 13.6457
Nd Cl
2 4
Direct
0.0000 0.0000 0.0000 Nd
0.5000 0.5000 0.5000 Nd
0.0000 0.0000 0.3817 Cl
0.0000 0.0000 0.6183 Cl
0.5000 0.5000 0.1183 Cl
0.5000 0.5000 0.8817 Cl
```

Values from the calculation:
DOS(E_F): 3.3 states/eV per cell
energy relative to the elements, uncorrected: -1.992 eV/atom
symmetry: I4/mmm

Entry from Alexandria: Cs2Cd2P after structural relaxation (PBE).

Structure (POSCAR):
```
Cs2Cd2P
1.0
7.5393 0.0000 0.0000
0.0000 7.5393 0.0000
0.0000 0.0000 6.0734
Cs Cd P
4 4 2
Direct
0.1873 0.3127 0.0000 Cs
0.3127 0.8127 0.0000 Cs
0.6873 0.1873 0.0000 Cs
0.8127 0.6873 0.0000 Cs
0.1378 0.6378 0.5000 Cd
0.3622 0.1378 0.5000 Cd
0.6378 0.8622 0.5000 Cd
0.8622 0.3622 0.5000 Cd
0.0000 0.0000 0.5000 P
0.5000 0.5000 0.5000 P
```

Values from the calculation:
DOS(E_F): 7.5 states/eV per cell
calculated formation energy: 43 meV per atom
symmetry: P4/mbm
E above lowest polymorph: 0.15 eV/f.u.

Entry from Alexandria: CeGaNiPt3 after structural relaxation (PBE).

Structure (POSCAR):
```
CeGaNiPt3
1.0
2.8380 -6.3298 0.0000
2.8380 6.3298 0.0000
0.0000 0.0000 5.7798
Ce Ga Ni Pt
2 2 2 6
Direct
0.1955 0.8045 0.7500 Ce
0.8045 0.1955 0.2500 Ce
0.1268 0.8732 0.2500 Ga
0.8732 0.1268 0.7500 Ga
0.3733 0.6267 0.7500 Ni
0.6267 0.3733 0.2500 Ni
0.2521 0.2521 0.0000 Pt
0.2521 0.2521 0.5000 Pt
0.3263 0.6737 0.2500 Pt
0.6737 0.3263 0.7500 Pt
0.7479 0.7479 0.0000 Pt
0.7479 0.7479 0.5000 Pt
```

Values from the calculation:
DOS(E_F): 8.8 states/eV per cell
calculated formation energy: -657 meV per atom
symmetry: Cmcm

Entry from Alexandria: PuUCrRh after structural relaxation (PBE).

Structure (POSCAR):
```
PuUCrRh
1.0
6.4948 0.0000 0.0000
0.0000 6.4948 0.0000
0.0000 0.0000 6.4948
Pu U Cr Rh
4 4 4 4
Direct
0.0000 0.0000 0.0000 Pu
0.0000 0.5000 0.5000 Pu
0.5000 0.0000 0.5000 Pu
0.5000 0.5000 0.0000 Pu
0.2500 0.2500 0.7500 U
0.2500 0.7500 0.2500 U
0.7500 0.2500 0.2500 U
0.7500 0.7500 0.7500 U
0.0000 0.0000 0.5000 Cr
0.0000 0.5000 0.0000 Cr
0.5000 0.0000 0.0000 Cr
0.5000 0.5000 0.5000 Cr
0.2500 0.2500 0.2500 Rh
0.2500 0.7500 0.7500 Rh
0.7500 0.2500 0.7500 Rh
0.7500 0.7500 0.2500 Rh
```

Values from the calculation:
DOS(E_F): 22.5 states/eV per cell
calculated formation energy: -141 meV per atom
symmetry: F-43m

Entry from Alexandria: Nd8Rh2Pb after structural relaxation (PBE).

Structure (POSCAR):
```
Nd8Rh2Pb
1.0
4.4178 -6.9847 0.0000
4.4178 6.9847 0.0000
-1.3857 0.0000 5.4813
Nd Rh Pb
8 2 1
Direct
0.0795 0.3300 0.5620 Nd
0.2483 0.7517 0.0000 Nd
0.3300 0.0795 0.5620 Nd
0.3970 0.3970 0.1952 Nd
0.6030 0.6030 0.8048 Nd
0.6700 0.9205 0.4380 Nd
0.7517 0.2483 0.0000 Nd
0.9205 0.6700 0.4380 Nd
0.2953 0.7047 0.5000 Rh
0.7047 0.2953 0.5000 Rh
0.0000 0.0000 0.0000 Pb
```

Values from the calculation:
DOS(E_F): 13.8 states/eV per cell
calculated formation energy: -323 meV per atom
symmetry: C2/m

Entry from Alexandria: Hf2MoBr after structural relaxation (PBE).

Structure (POSCAR):
```
Hf2MoBr
1.0
5.6489 0.0000 0.0000
0.0000 5.6489 0.0000
0.0000 0.0000 14.0188
Hf Mo Br
8 4 4
Direct
0.1894 0.2500 0.1250 Hf
0.2500 0.6894 0.3750 Hf
0.2500 0.8106 0.8750 Hf
0.3106 0.2500 0.6250 Hf
0.6894 0.7500 0.6250 Hf
0.7500 0.1894 0.8750 Hf
0.7500 0.3106 0.3750 Hf
0.8106 0.7500 0.1250 Hf
0.0000 0.0000 0.0000 Mo
0.0000 0.5000 0.2500 Mo
0.5000 0.0000 0.7500 Mo
0.5000 0.5000 0.5000 Mo
0.0000 0.0000 0.5000 Br
0.0000 0.5000 0.7500 Br
0.5000 0.0000 0.2500 Br
0.5000 0.5000 0.0000 Br
```

Values from the calculation:
DOS(E_F): 11.6 states/eV per cell
energy relative to the elements, uncorrected: 0.915 eV/atom
symmetry: I-42d
E above lowest polymorph: 2.07 eV/f.u.

Entry from Alexandria: BaPmTl after structural relaxation (PBE).

Structure (POSCAR):
```
BaPmTl
1.0
4.0998 0.0000 0.0000
0.0000 4.0998 0.0000
0.0000 0.0000 14.0061
Ba Pm Tl
2 2 2
Direct
0.0000 0.0000 0.0000 Ba
0.5000 0.5000 0.5000 Ba
0.0000 0.0000 0.2767 Pm
0.5000 0.5000 0.7767 Pm
0.0000 0.0000 0.6725 Tl
0.5000 0.5000 0.1725 Tl
```

Values from the calculation:
DOS(E_F): 6.7 states/eV per cell
calculated formation energy: -171 meV per atom
symmetry: I4mm
E above lowest polymorph: 0.34 eV/f.u.

Entry from Alexandria: CdGa2O after structural relaxation (PBE).

Structure (POSCAR):
```
CdGa2O
1.0
6.5557 0.0000 0.0000
0.0000 6.5557 0.0000
0.0000 0.0000 6.5557
Cd Ga O
4 8 4
Direct
0.0000 0.0000 0.0000 Cd
0.0000 0.5000 0.5000 Cd
0.5000 0.0000 0.5000 Cd
0.5000 0.5000 0.0000 Cd
0.2500 0.2500 0.2500 Ga
0.2500 0.2500 0.7500 Ga
0.2500 0.7500 0.2500 Ga
0.2500 0.7500 0.7500 Ga
0.7500 0.2500 0.2500 Ga
0.7500 0.2500 0.7500 Ga
0.7500 0.7500 0.2500 Ga
0.7500 0.7500 0.7500 Ga
0.0000 0.0000 0.5000 O
0.0000 0.5000 0.0000 O
0.5000 0.0000 0.0000 O
0.5000 0.5000 0.5000 O
```

Values from the calculation:
DOS(E_F): 3.0 states/eV per cell
energy relative to the elements, uncorrected: 0.090 eV/atom
symmetry: Fm-3m
E above lowest polymorph: 2.07 eV/f.u.